VASP calculation (GGA-PBE) on a geometry-optimized TaSi2 structure.

Summary:
* formation energy (no corrections): 0.021 eV per atom
* calculated total energy: -7.545 eV per atom

Lattice parameters (Å, degrees): 4.3898 4.3898 2.6627 90.00 90.00 120.00
With the nearest neighbours (Å) after each atom.
Sites, in units of the cell vectors:
Si1 0.3333 0.6667 0.0000  5 Si 2.53-2.66
Si2 0.6667 0.3333 0.0000  5 Si 2.53-2.66
Ta1 0.0000 0.0000 0.5000  2 Ta 2.66, 12 Si 2.86